A relaxed SrAu2I8 crystal, computed with GGA-PBE.

crystal system = tetragonal
energy = -2.314 eV/atom
total moment = 0.000 μB per atom
E_form (uncorrected) = -0.44 eV/atom
calculated volume = 40.8 A^3/atom

```
data_SrAu2I8
_chemical_formula_sum 'Sr2 Au4 I16'
_symmetry_space_group_name_H-M 'I 4 2 2'
_symmetry_Int_Tables_number 97
_symmetry_space_group_name_Hall 'I 4 2'
_cell_length_a 8.197
_cell_length_b 8.197
_cell_length_c 13.359
_cell_angle_alpha 90.00
_cell_angle_beta 90.00
_cell_angle_gamma 90.00
loop_
_atom_site_label
_atom_site_fract_x
_atom_site_fract_y
_atom_site_fract_z
_atom_site_occupancy
Sr1 0.000 0.000 0.000 1
Au1 0.000 0.500 0.250 1
I1 0.171 0.320 0.614 1
```